An optimized crystal structure of Pm3Nd4PuTe8. Source: Alexandria via LeMat-Bulk, functional PBE-GGA.

Cell lengths 8.9512, 8.9512, 21.9693 Å; angles 90.00, 90.00, 120.00 degrees
Space group R-3m (No. 166, hexagonal axes)
Asymmetric unit:
Pm (0.0000, 0.5000, 0.0000) (multiplicity 9)
Nd (0.0000, 0.0000, 0.5000) (multiplicity 3)
Nd (0.0000, 0.5000, 0.5000) (multiplicity 9)
Pu (0.0000, 0.0000, 0.0000) (multiplicity 3)
Te (0.0000, 0.0000, 0.2508) (multiplicity 6)
Te (0.0020, 0.5010, 0.7487) (multiplicity 18)

Calculated values
M_tot: 6.0 μB/f.u.
ΔE_f (raw): -1.38 eV per atom
calculated volume: 1524 Å³/cell